TbCe5Th4 | GGA-PBE | relaxed Values from VASP.

Results
DFT formation energy, meV per atom: 29
DFT total energy, eV/atom: -6.369
Mass density, Mg/m³: 9.99
Crystal system: tetragonal

Cell and atoms, written as Quantum ESPRESSO input:
```
&SYSTEM
  ibrav = 0, nat = 10, ntyp = 3
/
ATOMIC_SPECIES
Tb 158.93 Tb.upf
Ce 140.12 Ce.upf
Th 232.04 Th.upf
CELL_PARAMETERS angstrom
3.484 0.000 0.000
0.000 3.484 0.000
0.000 0.000 24.479
ATOMIC_POSITIONS angstrom
Tb 0.000 0.000 0.000
Ce 1.742 1.742 2.558
Ce 1.742 1.742 7.385
Ce 1.742 1.742 12.240
Ce 1.742 1.742 17.094
Ce 1.742 1.742 21.921
Th 0.000 0.000 4.957
Th 0.000 0.000 9.816
Th 0.000 0.000 14.663
Th 0.000 0.000 19.522
```